This record from the Alexandria database describes a geometry-optimized ErFe4Co structure. The functional is PBE-GGA.

```
ErFe4Co
1.0
4.910 0.000 0.000
2.455 4.252 0.000
2.455 1.417 4.009
Co Fe Er
1 4 1
Direct
0.250 0.250 0.250
0.624 0.624 0.127
0.624 0.127 0.624
0.624 0.624 0.624
0.127 0.624 0.624
0.000 0.000 0.000
```

Calculated values
formation energy	0.02	eV/atom

This record from the Alexandria database describes a geometry-optimized PmThInRu structure. The functional is PBE-GGA.

```
PmThInRu
1.0
-0.318 -3.896 -3.470
-1.903 -4.646 1.454
-4.670 -1.573 -1.743
Ru In Th Pm
1 1 1 1
Direct
0.750 0.750 0.750
0.250 0.250 0.250
0.500 0.500 0.500
0.000 0.000 0.000
```

Calculated values
formation energy	-0.17	eV/atom

This record from the Alexandria database describes a geometry-optimized TlP2Br structure. The functional is PBE-GGA.

```
TlP2Br
1.0
-1.980 3.955 1.413
-1.068 -4.518 0.060
4.469 -0.938 8.887
Br P Tl
1 2 1
Direct
0.500 0.500 0.740
0.000 0.000 0.057
0.500 0.500 0.190
0.000 0.000 0.513
```

Calculated values
raw formation energy	6	kJ/mol of atoms

This record from the Alexandria database describes a geometry-optimized TiBPCl2 structure. The functional is PBE-GGA.

```
TiBPCl2
1.0
-2.844 2.019 -2.385
-2.546 0.372 3.351
1.919 3.912 1.023
P B Cl Ti
1 1 2 1
Direct
0.000 0.000 0.500
0.000 0.000 0.000
0.000 0.500 0.000
0.500 0.000 0.000
0.500 0.500 0.500
```

Calculated values
raw formation energy	46	kJ/mol of atoms